This record from the Alexandria database describes a relaxed structure of SmDyTmCd. The functional is GGA-PBE.

```
SmDyTmCd
1.0
3.5887 0.0000 0.0000
0.0000 3.5887 0.0000
0.0000 0.0000 9.0298
Sm Dy Tm Cd
1 1 1 1
Direct
0.0000 0.0000 0.0000 Sm
0.5000 0.5000 0.7216 Dy
0.5000 0.5000 0.2750 Tm
0.0000 0.0000 0.4940 Cd
```

Energy above the lowest structure with this stoichiometry: 0 meV/atom
Magnetization: 0.000 Bohr magnetons per cell
Energy of formation from the pure elements: -149 meV/atom